DFT (PBE) results for an optimized crystal structure of Nd2CuAg.

Structure (extended XYZ):
```
8
Lattice="4.7420 0.0000 0.0000 0.0000 5.9456 0.0096 0.0000 -2.9498 7.2623" Properties=species:S:1:pos:R:3 pbc="T T T"
Nd 1.1855 2.8729 4.1791
Nd 1.1855 4.5272 0.5487
Nd 3.5565 0.1229 3.0928
Nd 3.5565 -1.5314 6.7232
Cu 3.5565 1.4413 5.7765
Cu 1.1855 1.5545 1.4954
Ag 1.1855 -0.0632 5.2008
Ag 3.5565 3.0590 2.0711
```

Output
**Distance to the lowest polymorph of the same formula**: 4 meV per atom
**Energy of formation from the pure elements**: -0.194 eV/atom

=====

DFT (PBE) results for an optimized crystal structure of NpTcB4.

Structure (extended XYZ):
```
24
Lattice="-2.0134 -1.4909 -2.5508 4.0836 -4.2834 -0.7198 -5.3332 -6.4225 7.9634" Properties=species:S:1:pos:R:3 pbc="T T T"
B -3.1648 -8.1872 4.7775
B -2.0106 -5.3205 2.1910
B -4.4782 -6.8716 5.0453
B -0.0982 -4.0096 -0.0847
B -1.4967 -3.9906 1.0081
B -1.2524 -6.8763 2.5019
B 1.3286 -6.8921 0.4739
B 2.3603 -4.6574 -1.6466
B -5.6233 -7.5394 6.3395
B -3.4566 -4.7470 2.9972
B 0.3187 -2.6987 -1.1799
B 1.2152 -5.3253 -0.3524
B -1.7663 -8.2063 3.6848
B 0.1936 -7.4498 1.6957
B -4.5915 -5.3048 4.2190
B -3.5816 -9.4981 5.8728
Np -0.9650 -9.1978 6.1376
Np 0.6943 -4.9299 2.3334
Np -0.2846 -1.5081 1.1061
Np -1.9438 -5.7761 4.9103
Tc 0.3648 -7.4964 4.0935
Tc -1.6144 -3.2096 3.1502
Tc 2.1128 -3.3216 0.2737
Tc -3.3624 -7.3843 6.9700
```

Output
**Distance to the lowest polymorph of the same formula**: 0 meV per atom
**Energy of formation from the pure elements**: -0.490 eV/atom

=====

DFT (PBE) results for an optimized crystal structure of LaPr4.

Structure (extended XYZ):
```
5
Lattice="5.8697 0.0000 0.0000 0.0000 5.8697 0.0000 0.0000 0.0000 5.8697" Properties=species:S:1:pos:R:3 pbc="T T T"
Pr 2.9349 0.0000 2.9349
Pr 2.9349 2.9349 0.0000
Pr 0.0000 2.9349 2.9349
Pr 0.0000 0.0000 0.0000
La 2.9349 2.9349 2.9349
```

Output
**Distance to the lowest polymorph of the same formula**: 552 meV per atom
**Energy of formation from the pure elements**: 0.562 eV/atom

=====

DFT (PBE) results for an optimized crystal structure of Na4C23.

Structure (extended XYZ):
```
54
Lattice="-1.0781 4.2826 -5.4625 -3.1504 -5.2277 -3.4768 -6.1850 1.9163 2.7231" Properties=species:S:1:pos:R:3 pbc="T T T"
C -1.8447 -1.5432 -3.1040
C -5.3024 -1.5062 -1.9236
C -4.8428 -0.0466 -5.2774
C -4.5967 -3.9503 -2.1899
C -3.6708 1.8982 -3.9840
C -3.4288 1.8078 -2.4224
C -2.0853 2.6204 -2.0505
C -8.4764 0.7906 -5.0599
C -2.6140 2.8701 -4.5866
C -3.1332 0.0608 -7.1593
C -7.0469 -3.1911 -1.1111
C -2.2886 -0.1203 0.3574
C -2.3433 -3.0768 -3.1573
C -5.9718 2.6111 -2.9709
C -7.7994 -1.8988 -1.6296
C -4.5924 -0.4128 -6.7699
C -7.1438 0.6663 -4.2644
C -1.8851 2.1318 -5.7820
C -5.1111 2.4775 -4.2926
C -6.4981 4.0734 -2.8766
C -4.7387 0.6389 1.4361
C -6.7427 -0.9270 -2.2322
C -5.0824 2.3201 -1.6944
C -3.4834 0.4795 -4.6605
C -3.9154 -3.1022 -3.3396
C -3.1952 -0.6655 -3.2000
C -4.4417 -1.6399 -3.2453
C -2.3837 0.5981 -5.8352
C -5.9534 1.0798 -5.2221
C -5.6837 2.9531 0.7098
C -4.4601 -0.1086 -0.9941
C -3.8801 -0.3488 0.4923
C -1.0953 -1.0059 -1.7799
C -1.9370 0.1807 -1.1563
C -1.5794 3.2458 -3.4492
C -5.5707 1.0179 -0.9388
C -6.9847 -0.8366 -3.7938
C -5.8211 1.3840 0.5537
C -6.1108 4.6497 -1.4542
C -5.1778 3.5785 -0.6889
C -5.3311 -1.3489 -4.5218
C -6.9300 0.4917 -1.5557
C -3.2697 0.3050 -1.9518
C -7.2183 1.6367 -3.0162
C -5.4553 -2.9626 -1.2461
C -1.1523 1.5492 -1.2852
Na -6.2140 -1.1766 0.3039
Na -5.2067 0.4856 -3.1081
Na -3.9011 4.1701 -2.7353
Na -3.3620 2.0288 -0.0041
Na -3.1214 -2.1348 -1.0576
Na -1.3266 0.8344 -3.6004
Na -2.9018 -1.7794 -5.3388
Na 0.0000 0.0000 0.0000
```

Output
**Energy of formation from the pure elements**: 0.800 eV/atom

=====

DFT (PBE) results for an optimized crystal structure of MgZr3P4.

Structure (extended XYZ):
```
16
Lattice="-1.4488 -5.3012 -3.4579 5.3635 2.7858 -2.4389 4.2490 -4.1583 4.5945" Properties=species:S:1:pos:R:3 pbc="T T T"
Zr 0.5287 -5.5567 -0.8468
Zr 2.1360 -3.1123 -3.2280
Zr 4.2329 -5.1644 -0.9606
Zr 2.2715 -3.9027 1.9833
Zr 3.9307 -1.5092 -0.3417
Zr 6.0276 -3.5613 1.9256
P 3.8446 -1.0713 -2.9672
P 6.2917 -6.8257 -1.2667
P 5.6026 0.5357 -0.1408
P 2.5610 -7.2094 -1.1616
P 5.9765 -3.1897 -0.6822
P 2.1872 -3.4840 -0.6202
P 1.8719 0.1521 -0.0357
P 4.3191 -5.6023 1.6648
Mg 2.6693 -7.6516 1.4679
Mg 0.1308 -1.8078 -0.3314
```

Output
**Energy of formation from the pure elements**: -1.131 eV/atom

=====

DFT (PBE) results for an optimized crystal structure of Dy2Mg2Pd5.

Structure (extended XYZ):
```
18
Lattice="-6.3049 -0.0920 -3.7054 0.8916 -5.7053 -1.3755 -1.1693 0.6896 9.1905" Properties=species:S:1:pos:R:3 pbc="T T T"
Mg -3.5022 -0.6264 -0.6343
Mg -3.0134 -4.9099 4.6405
Mg -0.4358 -3.4408 0.2181
Mg -6.0798 -2.0955 3.7881
Pd -4.3622 -0.2877 3.8171
Pd -1.1349 -4.1648 2.7765
Pd -4.8817 -5.0486 -2.3935
Pd -1.6330 -0.4850 6.4012
Pd -2.1573 -5.2444 0.1883
Pd -2.5999 -2.3917 0.8779
Pd -5.3288 -2.1960 -1.7065
Pd -5.3813 -1.3676 1.2307
Pd -3.9132 -3.1403 3.1312
Pd -1.1885 -3.3377 5.7126
Dy 0.0335 -0.2141 -0.0516
Dy -4.9475 -4.2196 0.5362
Dy -1.5690 -1.3112 3.4714
Dy -2.6732 -3.1127 -2.5921
```

Output
**Energy of formation from the pure elements**: -0.640 eV/atom

=====

DFT (PBE) results for an optimized crystal structure of Pm3HoCo8.

Structure (extended XYZ):
```
12
Lattice="-3.7269 1.6026 -3.1325 -2.2295 -3.3016 -3.2248 -7.6940 -2.4194 3.7275" Properties=species:S:1:pos:R:3 pbc="T T T"
Co -4.0761 -1.2057 -2.0663
Co -11.3103 -3.4369 -0.8738
Co -5.1842 -2.8468 -3.6697
Co -4.4761 -1.3748 0.4316
Co -8.9982 -4.0402 -1.8571
Co -5.9286 -0.4090 -3.6238
Co -9.7396 -1.6120 -1.8113
Co -10.8434 -3.2467 -3.4085
Pm -6.8256 -2.0593 -1.3141
Pm -8.9698 -2.7554 0.8813
Pm -5.9567 -1.6991 -6.3563
Ho -8.0942 -2.3929 -4.1681
```

Output
**Energy of formation from the pure elements**: -0.104 eV/atom

=====

DFT (PBE) results for an optimized crystal structure of Hf3GaCl.

Structure (extended XYZ):
```
5
Lattice="-1.6671 -3.9916 -1.8494 3.9421 -0.4775 -2.5228 1.9528 -2.4437 3.5140" Properties=species:S:1:pos:R:3 pbc="T T T"
Hf 1.9711 -0.2388 -1.2614
Hf 0.9764 -1.2218 1.7570
Hf -0.8335 -1.9958 -0.9247
Ga 2.1139 -3.4564 -0.4291
Cl 0.0000 0.0000 0.0000
```

Output
**Distance to the lowest polymorph of the same formula**: 0 meV per atom
**E_form (uncorrected)**: 0.20 eV per atom

=====

The evaluated size of the total moment for the records listed, in turn: 0.000 11.359 0.124 0.000 0.000 0.000 7.515 0.000 μB per cell.